1.
Computed, not measured: Zn2Ge2P after structural relaxation at the PBE-GGA level of DFT.

a b c (Å): 6.661 6.661 4.034
angles (deg): 90.00 90.00 90.00
Space group P4/mbm (No. 127)
Asymmetric unit:
Zn: 0.137 0.363 0.000 [4 per cell]
Ge: 0.168 0.668 0.500 [4 per cell]
P: 0.000 0.000 0.000 [2 per cell]

Output
Energy of formation from the pure elements = 32 kJ per mole of atoms
N(E_F) = 0.432 states/eV per atom
Calculated total energy = -31.1 eV per cell
Total moment = 0.0000 μB/atom

***

2.
Computed, not measured: ZnGe2P after structural relaxation at the PBE-GGA level of DFT.

a b c (Å): 3.573 4.037 6.023
angles (deg): 90.00 90.00 90.00
Space group Pmm2 (No. 25)
Asymmetric unit:
Zn: 0.000 0.000 0.000 [1 per cell]
Ge: 0.500 0.000 0.700 [1 per cell]
Ge: 0.500 0.500 0.457 [1 per cell]
P: 0.000 0.500 0.207 [1 per cell]

Output
Energy of formation from the pure elements = -3 kJ per mole of atoms
N(E_F) = 0.456 states/eV per atom
Calculated total energy = -16.1 eV per cell
Total moment = 0.0000 μB/atom

***

3.
Computed, not measured: ZnGe2P after structural relaxation at the PBE-GGA level of DFT.

a b c (Å): 2.779 5.051 10.101
angles (deg): 90.00 90.00 90.00
Space group Immm (No. 71)
Asymmetric unit:
Zn: 0.000 0.000 0.000 [2 per cell]
Ge: 0.000 0.500 0.248 [4 per cell]
P: 0.000 0.500 0.000 [2 per cell]

Output
Energy of formation from the pure elements = 21 kJ per mole of atoms
N(E_F) = 0.346 states/eV per atom
Calculated total energy = -30.1 eV per cell
Total moment = 0.0000 μB/atom

***

What did the first record say?
Computed, not measured: Zn2Ge2P after structural relaxation at the PBE-GGA level of DFT.

a b c (Å): 6.661 6.661 4.034
angles (deg): 90.00 90.00 90.00
Space group P4/mbm (No. 127)
Asymmetric unit:
Zn: 0.137 0.363 0.000 [4 per cell]
Ge: 0.168 0.668 0.500 [4 per cell]
P: 0.000 0.000 0.000 [2 per cell]

Output
Energy of formation from the pure elements = 32 kJ per mole of atoms
N(E_F) = 0.432 states/eV per atom
Calculated total energy = -31.1 eV per cell
Total moment = 0.0000 μB/atom

***

Please write out number 2 again, unchanged.
Computed, not measured: ZnGe2P after structural relaxation at the PBE-GGA level of DFT.

a b c (Å): 3.573 4.037 6.023
angles (deg): 90.00 90.00 90.00
Space group Pmm2 (No. 25)
Asymmetric unit:
Zn: 0.000 0.000 0.000 [1 per cell]
Ge: 0.500 0.000 0.700 [1 per cell]
Ge: 0.500 0.500 0.457 [1 per cell]
P: 0.000 0.500 0.207 [1 per cell]

Output
Energy of formation from the pure elements = -3 kJ per mole of atoms
N(E_F) = 0.456 states/eV per atom
Calculated total energy = -16.1 eV per cell
Total moment = 0.0000 μB/atom

***

Question: Which value of total moment does entry 2 give?
Answer: 0.0000 μB/atom